1.
Entry from Alexandria via LeMat-Bulk: an optimized crystal structure of Tb2PmDy3Bi6 (PBE-GGA).

For the magnetization, the calculation gives 0.00 μB/f.u. The calculation puts the density of states at the Fermi level at 2.007 states/eV/f.u. The value obtained for the formation enthalpy at 0 K is -20.258 kcal/mol of atoms. As for the crystal system: monoclinic. Its calculated total energy is -61.6 eV/f.u.

It has space group C2/m (No. 12), with a = 19.602 Å, b = 4.499 Å, c = 8.997 Å, α = 90.00°, β = 103.20° and γ = 90.00°. The distinct sites, in fractional coordinates, are Tb at (0.167, 0.000, 0.333), Pm at (0.000, 0.500, 0.000), Dy at (0.000, 0.500, 0.500), Dy at (0.166, 0.000, 0.833), Bi at (0.000, 0.000, 0.255), Bi at (0.166, 0.500, 0.584) and Bi at (0.169, 0.500, 0.083).

---

2.
Entry from Alexandria via LeMat-Bulk: an optimized crystal structure of SrCdHgOs2 (PBE-GGA).

For the magnetization, the calculation gives 3.09 μB/f.u. The calculation puts the density of states at the Fermi level at 5.320 states/eV/f.u. The value obtained for the formation enthalpy at 0 K is 37.527 kcal/mol of atoms. As for the crystal system: tetragonal. Its calculated total energy is -17.2 eV/f.u.

It has space group P4/mmm (No. 123), with a = 5.090 Å, b = 5.090 Å, c = 5.203 Å, α = 90.00°, β = 90.00° and γ = 90.00°. The distinct sites, in fractional coordinates, are Sr at (0.000, 0.000, 0.000), Cd at (0.500, 0.500, 0.500), Hg at (0.500, 0.500, 0.000) and Os at (0.000, 0.500, 0.500).

---

3.
Entry from Alexandria via LeMat-Bulk: an optimized crystal structure of Zn2Ag2Pd (PBE-GGA).

The calculation puts the energy above the most stable polymorph in this dataset at 0.000 eV per atom. For the magnetization, the calculation gives 0.00 μB/f.u. The calculation puts the density of states at the Fermi level at 1.190 states/eV/f.u. The value obtained for the formation enthalpy at 0 K is -1.667 kcal/mol of atoms. As for the crystal system: tetragonal. Its calculated total energy is -13.8 eV/f.u.

It has space group P4/mbm (No. 127), with a = 6.865 Å, b = 6.865 Å, c = 3.478 Å, α = 90.00°, β = 90.00° and γ = 90.00°. The distinct sites, in fractional coordinates, are Zn at (0.136, 0.364, 0.000), Ag at (0.165, 0.665, 0.500) and Pd at (0.000, 0.000, 0.000).

---

> Which formula does entry 2 have?

SrCdHgOs2